This record from Alexandria via LeMat-Bulk describes a geometry-optimized TaCu2Si structure. The functional is PBE.

VASP energy = -6.2331 eV/atom
symmetry = R-3m, No. 166
ΔE_f (raw) = 3.09 kcal/mol of atoms

Cell and atoms, written as POSCAR:
```
TaCu2Si
1.0
-1.172 8.237 2.860
-3.809 7.534 2.476
-2.542 6.894 4.838
Cu Si Ta
2 1 1
Cartesian
-7.468 22.496 10.099
-3.817 11.500 5.162
-1.881 5.666 2.544
-5.643 16.998 7.631
```